No. 1
DFT (GGA-PBE) results for crystalline RbNdAsO at its relaxed geometry.

Cell and atoms, written as CIF:
```
data_RbNdAsO
_cell_length_a 5.140
_cell_length_b 7.171
_cell_length_c 6.168
_cell_angle_alpha 90.00
_cell_angle_beta 90.00
_cell_angle_gamma 90.00
_symmetry_space_group_name_H-M 'P m c 21'
_symmetry_Int_Tables_number 26
_symmetry_space_group_name_Hall 'P 2c -2'
loop_
_atom_site_label
_atom_site_type_symbol
_atom_site_fract_x
_atom_site_fract_y
_atom_site_fract_z
Rb1 Rb 0.000 0.133 0.000
Nd1 Nd 0.500 0.220 0.502
As1 As 0.000 0.432 0.474
O1 O 0.500 0.006 0.760
```


No. 2
DFT (GGA-PBE) results for crystalline RbNdAsO at its relaxed geometry.

Cell and atoms, written as CIF:
```
data_RbNdAsO
_cell_length_a 3.599
_cell_length_b 8.194
_cell_length_c 8.127
_cell_angle_alpha 90.00
_cell_angle_beta 90.00
_cell_angle_gamma 90.00
_symmetry_space_group_name_H-M 'P m c 21'
_symmetry_Int_Tables_number 26
_symmetry_space_group_name_Hall 'P 2c -2'
loop_
_atom_site_label
_atom_site_type_symbol
_atom_site_fract_x
_atom_site_fract_y
_atom_site_fract_z
Rb1 Rb 0.000 0.049 0.000
Nd1 Nd 0.500 0.373 0.357
As1 As 0.500 0.292 0.716
O1 O 0.000 0.243 0.280
```


No. 3
DFT (GGA-PBE) results for crystalline RbNdAsO at its relaxed geometry.

Cell and atoms, written as CIF:
```
data_RbNdAsO
_cell_length_a 4.249
_cell_length_b 4.249
_cell_length_c 11.102
_cell_angle_alpha 90.00
_cell_angle_beta 90.00
_cell_angle_gamma 90.00
_symmetry_space_group_name_H-M 'P 4/n m m'
_symmetry_Int_Tables_number 129
loop_
_symmetry_equiv_pos_as_xyz
'x,y,z'
'-x,-y,-z'
'-y+1/2,x,z'
'y+1/2,-x,-z'
'-x+1/2,-y+1/2,z'
'x+1/2,y+1/2,-z'
'y,-x+1/2,z'
'-y,x+1/2,-z'
'x+1/2,-y,-z'
'-x+1/2,y,z'
'-y,-x,-z'
'y,x,z'
'-x,y+1/2,-z'
'x,-y+1/2,z'
'y+1/2,x+1/2,-z'
'-y+1/2,-x+1/2,z'
loop_
_atom_site_label
_atom_site_type_symbol
_atom_site_fract_x
_atom_site_fract_y
_atom_site_fract_z
Rb1 Rb 0.250 0.750 0.000
Nd1 Nd 0.250 0.250 0.404
As1 As 0.250 0.250 0.767
O1 O 0.250 0.750 0.500
```


| no. | ΔE to the lowest computed polymorph (meV per atom) | volume (Å³ per cell) |
| --- | --- | --- |
| 1 | 23.3 | 227 |
| 2 | 0.0 | 240 |
| 3 | 101.6 | 200 |